(1)
First-principles (GGA-PBE) data for a geometry-optimized PrY2Ge2 structure, as listed in the Open Quantum Materials Database.

## Properties
Symmetry: I4/mmm (139)
E: -6.01 eV/atom

Lattice parameters (Å, degrees): 7.1262 7.1262 7.1262 142.85 142.85 53.55
Atoms (fractional coordinates):
Pr: 0.0000 0.0000 0.0000
Y: 0.2500 0.7500 0.5000
Y: 0.7500 0.2500 0.5000
Ge: 0.4009 0.4009 0.0000
Ge: 0.5991 0.5991 0.0000

---

(2)
First-principles (GGA-PBE) data for a geometry-optimized PrYZn2Ge2 structure, as listed in the Open Quantum Materials Database.

## Properties
Symmetry: P6_3/mmc (194)
Energy above the most stable polymorph in this dataset: 0.000 eV per atom

Lattice parameters (Å, degrees): 4.2769 4.2769 16.1287 90.00 90.00 120.00
Atoms (fractional coordinates):
Pr: 0.0000 0.0000 0.0000
Pr: 0.0000 0.0000 0.5000
Y: 0.0000 0.0000 0.2500
Y: 0.0000 0.0000 0.7500
Zn: 0.3333 0.6667 0.1491
Zn: 0.3333 0.6667 0.3509
Zn: 0.6667 0.3333 0.6491
Zn: 0.6667 0.3333 0.8509
Ge: 0.3333 0.6667 0.6187
Ge: 0.3333 0.6667 0.8813
Ge: 0.6667 0.3333 0.1187
Ge: 0.6667 0.3333 0.3813

---

(3)
First-principles (GGA-PBE) data for a geometry-optimized PrZn2Ge2 structure, as listed in the Open Quantum Materials Database.

## Properties
Symmetry: I4/mmm (139)
Energy above the most stable polymorph in this dataset: 0.043 eV per atom

Lattice parameters (Å, degrees): 5.9663 5.9663 5.9663 136.19 136.19 63.69
Atoms (fractional coordinates):
Pr: 0.0000 0.0000 0.0000
Zn: 0.3810 0.3810 0.0000
Zn: 0.6190 0.6190 0.0000
Ge: 0.2500 0.7500 0.5000
Ge: 0.7500 0.2500 0.5000

---

(4)
First-principles (GGA-PBE) data for a geometry-optimized PrZn2Ge2 structure, as listed in the Open Quantum Materials Database.

## Properties
Symmetry: I4/mmm (139)
Energy above the most stable polymorph in this dataset: 0.000 eV per atom

Lattice parameters (Å, degrees): 6.4302 6.4302 6.4302 142.13 142.13 54.63
Atoms (fractional coordinates):
Pr: 0.0000 0.0000 0.0000
Zn: 0.2500 0.7500 0.5000
Zn: 0.7500 0.2500 0.5000
Ge: 0.3865 0.3865 0.0000
Ge: 0.6135 0.6135 0.0000

---

(5)
First-principles (GGA-PBE) data for a geometry-optimized PrZnGe structure, as listed in the Open Quantum Materials Database.

## Properties
Symmetry: P6_3/mmc (194)
E: -4.24 eV/atom

Lattice parameters (Å, degrees): 4.3049 4.3049 16.7962 90.00 90.00 120.00
Atoms (fractional coordinates):
Pr: 0.0000 0.0000 0.0000
Pr: 0.0000 0.0000 0.2500
Pr: 0.0000 0.0000 0.5000
Pr: 0.0000 0.0000 0.7500
Zn: 0.3333 0.6667 0.1401
Zn: 0.3333 0.6667 0.3599
Zn: 0.6667 0.3333 0.6401
Zn: 0.6667 0.3333 0.8599
Ge: 0.3333 0.6667 0.6168
Ge: 0.3333 0.6667 0.8832
Ge: 0.6667 0.3333 0.1168
Ge: 0.6667 0.3333 0.3832

---

(6)
First-principles (GGA-PBE) data for a geometry-optimized Pr2Zn6Ge3 structure, as listed in the Open Quantum Materials Database.

## Properties
Symmetry: P-62m (189)
E: -3.24 eV/atom

Lattice parameters (Å, degrees): 7.6840 7.6840 4.1277 90.00 90.00 120.00
Atoms (fractional coordinates):
Pr: 0.3333 0.6667 0.0000
Pr: 0.6667 0.3333 0.0000
Zn: 0.0000 0.1886 0.0000
Zn: 0.0000 0.7099 0.5000
Zn: 0.1886 0.0000 0.0000
Zn: 0.2901 0.2901 0.5000
Zn: 0.7099 0.0000 0.5000
Zn: 0.8114 0.8114 0.0000
Ge: 0.0000 0.3798 0.5000
Ge: 0.3798 0.0000 0.5000
Ge: 0.6202 0.6202 0.5000

---

(7)
First-principles (GGA-PBE) data for a geometry-optimized PrZnGe structure, as listed in the Open Quantum Materials Database.

## Properties
Symmetry: F-43m (216)
E: -3.63 eV/atom

Lattice parameters (Å, degrees): 4.9017 4.9017 4.9017 60.00 60.00 60.00
Atoms (fractional coordinates):
Pr: 0.0000 0.0000 0.0000
Zn: 0.2500 0.2500 0.2500
Ge: 0.7500 0.7500 0.7500

---

(8)
First-principles (GGA-PBE) data for a geometry-optimized Pr2Zn3Ge5 structure, as listed in the Open Quantum Materials Database.

## Properties
Symmetry: P1 (1)
E: -3.95 eV/atom

Lattice parameters (Å, degrees): 6.4525 8.6481 8.6719 71.04 69.00 68.90
Atoms (fractional coordinates):
Pr: 0.0000 0.0000 0.0000
Pr: 0.2463 0.2565 0.2536
Pr: 0.5026 0.4816 0.5170
Pr: 0.7492 0.7371 0.7709
Zn: 0.0067 0.3442 0.6449
Zn: 0.1250 0.8708 0.3853
Zn: 0.2425 0.6112 0.9119
Zn: 0.5060 0.1258 0.8597
Zn: 0.6236 0.8700 0.3856
Zn: 0.7417 0.3949 0.1248
Ge: 0.1255 0.3687 0.8865
Ge: 0.2689 0.8268 0.6427
Ge: 0.3553 0.6379 0.1575
Ge: 0.3926 0.1003 0.6139
Ge: 0.4808 0.9102 0.1287
Ge: 0.6234 0.3686 0.8840
Ge: 0.7682 0.1271 0.3428
Ge: 0.8559 0.6396 0.1547
Ge: 0.8931 0.0983 0.6169
Ge: 0.9804 0.6132 0.4278

---

(9)
First-principles (GGA-PBE) data for a geometry-optimized PrZnGe structure, as listed in the Open Quantum Materials Database.

## Properties
Symmetry: F-43m (216)
E: -3.92 eV/atom

Lattice parameters (Å, degrees): 4.6554 4.6554 4.6554 60.00 60.00 60.00
Atoms (fractional coordinates):
Pr: 0.0000 0.0000 0.0000
Zn: 0.7500 0.7500 0.7500
Ge: 0.5000 0.5000 0.5000

---

(10)
First-principles (GGA-PBE) data for a geometry-optimized PrZr3Ge4 structure, as listed in the Open Quantum Materials Database.

## Properties
Symmetry: Pm (6)
E: -6.62 eV/atom

Lattice parameters (Å, degrees): 6.7991 3.8417 7.1209 90.00 90.77 90.00
Atoms (fractional coordinates):
Pr: 0.0000 0.0000 0.0000
Zr: 0.0017 0.0000 0.5005
Zr: 0.4980 0.5000 0.4943
Zr: 0.5039 0.5000 0.9926
Ge: 0.1874 0.5000 0.7300
Ge: 0.3563 0.0000 0.2470
Ge: 0.6563 0.0000 0.7374
Ge: 0.8160 0.5000 0.2708

---

(11)
First-principles (GGA-PBE) data for a geometry-optimized PrZrGe2 structure, as listed in the Open Quantum Materials Database.

## Properties
Symmetry: Pmc2_1 (26)
Energy above the most stable polymorph in this dataset: 0.000 eV per atom

Lattice parameters (Å, degrees): 3.9240 6.9729 7.2582 90.00 90.00 90.00
Atoms (fractional coordinates):
Pr: 0.0000 0.0101 0.0000
Pr: 0.0000 0.9899 0.5000
Zr: 0.5000 0.4912 0.0116
Zr: 0.5000 0.5088 0.5116
Ge: 0.0000 0.3705 0.2669
Ge: 0.0000 0.6295 0.7669
Ge: 0.5000 0.2080 0.7454
Ge: 0.5000 0.7920 0.2454

---

(12)
First-principles (GGA-PBE) data for a geometry-optimized PrZrGe2 structure, as listed in the Open Quantum Materials Database.

## Properties
Symmetry: Pmn2_1 (31)
Energy above the most stable polymorph in this dataset: 0.083 eV per atom

Lattice parameters (Å, degrees): 3.9143 7.4917 6.9272 90.00 90.00 90.00
Atoms (fractional coordinates):
Pr: 0.0000 0.2354 0.0000
Pr: 0.5000 0.7646 0.5000
Zr: 0.0000 0.7277 0.0083
Zr: 0.5000 0.2723 0.5083
Ge: 0.0000 0.0390 0.3694
Ge: 0.0000 0.4947 0.6751
Ge: 0.5000 0.5053 0.1751
Ge: 0.5000 0.9610 0.8694